A relaxed Dy3Ge3Ir crystal, computed with GGA-PBE.

Structure (POSCAR):
```
Dy3Ge3Ir
1.0
0.083 3.037 3.021
3.465 -1.384 4.335
10.487 7.064 -4.351
Dy Ge Ir
6 6 2
Cartesian
6.369 3.167 2.718 Dy
3.350 1.383 4.594 Dy
3.343 2.082 0.853 Dy
7.666 5.550 0.287 Dy
10.692 6.635 2.151 Dy
10.686 7.334 -1.590 Dy
5.385 3.421 5.527 Ge
1.412 2.971 3.050 Ge
5.761 3.336 -0.473 Ge
8.650 5.296 -2.523 Ge
12.623 5.745 -0.046 Ge
8.274 5.381 3.478 Ge
9.521 3.849 1.946 Ir
4.514 4.868 1.058 Ir
```

Summary:
The value obtained for the density of states at the Fermi level is 8.9 states/eV per cell. For the total energy, the calculation gives -6.117 eV per atom.